## Sr8Ag2Hg (PBE)

Data for a relaxed Sr8Ag2Hg crystal.

Unit cell a=8.8806 b=8.8806 c=6.7786 alpha=99.63 beta=99.63 gamma=112.10
Element x y z (fractional)
1 Sr 0.0000 0.0000 0.0000
2 Sr 0.0284 0.2886 0.5974
3 Sr 0.1460 0.5868 0.1914
4 Sr 0.2886 0.0284 0.5974
5 Sr 0.4394 0.7021 0.7938
6 Sr 0.5868 0.1460 0.1914
7 Sr 0.7021 0.4394 0.7938
8 Sr 0.7288 0.7288 0.3747
9 Ag 0.0507 0.6740 0.6849
10 Ag 0.6740 0.0507 0.6849
11 Hg 0.3621 0.3621 0.0094

Summary:
SG: Cm (8)
DFT formation energy: -16 kJ per mole of atoms
Spin magnetization: 0.00 μB per cell
Excess energy over the best structure of this formula in the dataset: 0.0108 eV/atom